! ZrOsSCl2 PBE relaxed; values from VASP
! Formation energy (no corrections)   0.4035 eV/atom
! E above lowest polymorph   0.0 meV per atom
! Raw total energy   -5.12 eV per atom
&SYSTEM
  ibrav = 0, nat = 5, ntyp = 4
/
ATOMIC_SPECIES
S 32.06 S.upf
Os 190.23 Os.upf
Zr 91.22 Zr.upf
Cl 35.45 Cl.upf
ATOMIC_POSITIONS crystal
S 0.000 0.000 0.500
Os 0.500 0.500 0.500
Zr 0.000 0.000 0.000
Cl 0.000 0.500 0.000
Cl 0.500 0.000 0.000
CELL_PARAMETERS angstrom
-3.186 2.900 2.667
-3.938 -2.436 -2.056
0.104 -3.310 3.722